BeZn3O PBE-GGA optimized geometry; total magnetization = 0.00 Bohr magnetons per cell; symmetry = Pm-3m; raw total energy = -2.33 eV/atom; energy relative to the elements, uncorrected = 16 kJ/mol of atoms; distance to the lowest polymorph of the same formula = 0.000 eV/atom
1.0
4.1419 0.0000 0.0000
0.0000 4.1419 0.0000
0.0000 0.0000 4.1419
Be Zn O
1 3 1
direct
0.0000 0.0000 0.0000
0.0000 0.5000 0.5000
0.5000 0.0000 0.5000
0.5000 0.5000 0.0000
0.5000 0.5000 0.5000